[1]
The following is a GGA-PBEsol calculation of an optimized crystal structure of BaMg2Ru, from the Alexandria database.

Cell lengths 3.286, 5.431, 5.431 Å; angles 113.91, 90.00, 90.00 degrees
Sites, in units of the cell vectors:
Mg 0.000 0.500 0.000
Mg 0.000 0.000 0.500
Ru 0.500 0.000 0.000
Ba 0.500 0.500 0.500

Results
total moment	0.63	Bohr magnetons per cell
formation enthalpy at 0 K	626	meV/atom


[2]
The following is a GGA-PBEsol calculation of an optimized crystal structure of Ba2MgZrRu, from the Alexandria database.

Cell lengths 4.684, 6.106, 6.106 Å; angles 90.00, 90.00, 90.00 degrees
Sites, in units of the cell vectors:
Ba 0.000 0.500 0.000
Ba 0.000 0.000 0.500
Zr 0.500 0.500 0.500
Mg 0.000 0.000 0.000
Ru 0.500 0.000 0.000

Results
total moment	2.53	Bohr magnetons per cell
formation enthalpy at 0 K	1326	meV/atom


[3]
The following is a GGA-PBEsol calculation of an optimized crystal structure of BaMgSb, from the Alexandria database.

Cell lengths 3.629, 4.291, 6.703 Å; angles 108.67, 105.71, 90.00 degrees
Sites, in units of the cell vectors:
Sb 0.696 0.696 0.392
Ba 0.005 0.005 0.010
Mg 0.299 0.299 0.598

Results
total moment	0.00	Bohr magnetons per cell
formation energy (no corrections)	-0.451	eV per atom


[4]
The following is a GGA-PBEsol calculation of an optimized crystal structure of BaMgSb, from the Alexandria database.

Cell lengths 4.836, 4.836, 4.895 Å; angles 90.00, 90.00, 120.00 degrees
Sites, in units of the cell vectors:
Mg 0.333 0.667 0.500
Ba 0.000 0.000 0.000
Sb 0.667 0.333 0.500

Results
total moment	0.67	Bohr magnetons per cell
formation energy (no corrections)	-0.688	eV per atom


[5]
The following is a GGA-PBEsol calculation of an optimized crystal structure of Ba4MgSb, from the Alexandria database.

Cell lengths 7.077, 7.077, 7.077 Å; angles 60.00, 60.00, 60.00 degrees
Sites, in units of the cell vectors:
Ba 0.373 0.880 0.373
Ba 0.880 0.373 0.373
Ba 0.373 0.373 0.373
Ba 0.373 0.373 0.880
Mg 0.750 0.750 0.750
Sb 0.000 0.000 0.000

Results
total moment	0.38	Bohr magnetons per cell
formation energy (no corrections)	0.177	eV per atom


[6]
The following is a GGA-PBEsol calculation of an optimized crystal structure of BaMg2Sc, from the Alexandria database.

Cell lengths 5.529, 5.522, 5.529 Å; angles 59.96, 90.00, 120.04 degrees
Sites, in units of the cell vectors:
Mg 0.750 0.500 0.750
Mg 0.250 0.500 0.250
Ba 0.000 0.000 0.000
Sc 0.500 0.000 0.500

Results
total moment	0.00	Bohr magnetons per cell
formation enthalpy at 0 K	118	meV/atom


[7]
The following is a GGA-PBEsol calculation of an optimized crystal structure of BaMg2Sc, from the Alexandria database.

Cell lengths 3.748, 3.748, 8.434 Å; angles 90.00, 90.00, 90.00 degrees
Sites, in units of the cell vectors:
Mg 0.000 0.000 0.195
Mg 0.000 0.000 0.805
Sc 0.500 0.500 0.000
Ba 0.500 0.500 0.500

Results
total moment	0.18	Bohr magnetons per cell
formation enthalpy at 0 K	20	meV/atom


[8]
The following is a GGA-PBEsol calculation of an optimized crystal structure of BaMgSc3, from the Alexandria database.

Cell lengths 5.417, 5.417, 5.417 Å; angles 90.00, 90.00, 90.00 degrees
Sites, in units of the cell vectors:
Mg 0.000 0.000 0.000
Sc 0.000 0.500 0.000
Sc 0.000 0.000 0.500
Sc 0.500 0.000 0.000
Ba 0.500 0.500 0.500

Results
total moment	0.00	Bohr magnetons per cell
formation enthalpy at 0 K	592	meV/atom


[9]
The following is a GGA-PBEsol calculation of an optimized crystal structure of BaMgSc, from the Alexandria database.

Cell lengths 5.311, 5.311, 5.311 Å; angles 60.00, 60.00, 60.00 degrees
Sites, in units of the cell vectors:
Mg 0.500 0.500 0.500
Ba 0.000 0.000 0.000
Sc 0.250 0.250 0.250

Results
total moment	0.00	Bohr magnetons per cell
formation enthalpy at 0 K	582	meV/atom


[10]
The following is a GGA-PBEsol calculation of an optimized crystal structure of BaMgSe2, from the Alexandria database.

Cell lengths 3.665, 3.665, 7.451 Å; angles 90.00, 90.00, 90.00 degrees
Sites, in units of the cell vectors:
Ba 0.500 0.500 0.000
Se 0.000 0.000 0.721
Se 0.000 0.000 0.279
Mg 0.500 0.500 0.500

Results
total moment	0.00	Bohr magnetons per cell
formation energy (no corrections)	-1.209	eV per atom


[11]
The following is a GGA-PBEsol calculation of an optimized crystal structure of BaMg3Se, from the Alexandria database.

Cell lengths 5.388, 5.388, 5.388 Å; angles 90.00, 90.00, 90.00 degrees
Sites, in units of the cell vectors:
Se 0.000 0.000 0.000
Mg 0.000 0.500 0.000
Mg 0.500 0.000 0.000
Mg 0.000 0.000 0.500
Ba 0.500 0.500 0.500

Results
total moment	0.00	Bohr magnetons per cell
formation energy (no corrections)	-0.104	eV per atom


[12]
The following is a GGA-PBEsol calculation of an optimized crystal structure of BaMg2Se, from the Alexandria database.

Cell lengths 4.477, 4.477, 6.930 Å; angles 108.84, 108.84, 90.00 degrees
Sites, in units of the cell vectors:
Mg 0.750 0.250 0.500
Mg 0.250 0.750 0.500
Se 0.500 0.500 0.000
Ba 0.000 0.000 0.000

Results
total moment	0.00	Bohr magnetons per cell
formation energy (no corrections)	-0.578	eV per atom